Material: NaTbNiTe3
Method: DFT, GGA-PBE
State: relaxed

It has space group Cmcm (No. 63), with a = 4.136 Å, b = 15.617 Å, c = 10.668 Å, α = 90.00°, β = 90.00° and γ = 90.00°. The asymmetric unit holds Na at (0.000, 0.249, 0.250), Tb at (0.000, 0.000, 0.000), Ni at (0.000, 0.489, 0.750), Te at (0.000, 0.091, 0.750) and Te at (0.000, 0.369, 0.590).

As for the crystal system: orthorhombic. The value obtained for the energy above the most stable polymorph in this dataset is 14.2 meV/atom.